# 1
# V3PtRh4

V3PtRh4 after structural relaxation (PBE, the Alexandria database).

a b c (Å): 8.7173 5.4825 4.6791
angles (deg): 90.00 90.00 90.00
With the nearest neighbours (Å) after each atom.
Fractional coordinates of all 16 atoms:
V 0.0000 0.0000 0.0000  8 Rh 2.68-2.70, 2 V 2.71, 2 Pt 2.74
V 0.2500 0.0000 0.3435  8 Rh 2.66-2.72, 4 V 2.71-2.74
V 0.2500 0.5000 0.3323  8 Rh 2.66-2.76, 2 Pt 2.68, 2 V 2.74
V 0.5000 0.0000 0.0000  8 Rh 2.68-2.70, 2 V 2.71, 2 Pt 2.74
V 0.7500 0.0000 0.6565  8 Rh 2.66-2.72, 4 V 2.71-2.74
V 0.7500 0.5000 0.6677  8 Rh 2.66-2.76, 2 Pt 2.68, 2 V 2.74
Pt 0.0000 0.5000 0.0000  8 Rh 2.67-2.73, 4 V 2.68-2.74
Pt 0.5000 0.5000 0.0000  8 Rh 2.67-2.73, 4 V 2.68-2.74
Rh 0.0000 0.2447 0.5000  6 V 2.66-2.71, 4 Rh 2.68-2.80, 2 Pt 2.73
Rh 0.0000 0.7553 0.5000  6 V 2.66-2.71, 4 Rh 2.68-2.80, 2 Pt 2.73
Rh 0.2500 0.2502 0.8445  6 V 2.66-2.76, 2 Pt 2.67, 4 Rh 2.71-2.74
Rh 0.2500 0.7498 0.8445  6 V 2.66-2.76, 2 Pt 2.67, 4 Rh 2.71-2.74
Rh 0.5000 0.2447 0.5000  6 V 2.66-2.71, 4 Rh 2.68-2.80, 2 Pt 2.73
Rh 0.5000 0.7553 0.5000  6 V 2.66-2.71, 4 Rh 2.68-2.80, 2 Pt 2.73
Rh 0.7500 0.2502 0.1555  6 V 2.66-2.76, 2 Pt 2.67, 4 Rh 2.71-2.74
Rh 0.7500 0.7498 0.1555  6 V 2.66-2.76, 2 Pt 2.67, 4 Rh 2.71-2.74

Summary:
Its crystal system is orthorhombic.

=====

# 2
# V4Pt7Rh

V4Pt7Rh after structural relaxation (PBE, the Alexandria database).

a b c (Å): 5.7829 5.7829 9.2268
angles (deg): 118.48 118.48 47.95
With the nearest neighbours (Å) after each atom.
Fractional coordinates of all 12 atoms:
V 0.0788 0.0788 0.2716  8 Pt 2.47-2.73
V 0.2393 0.2393 0.8265  5 Pt 2.44-2.73
V 0.7607 0.7607 0.1735  5 Pt 2.44-2.73
V 0.9212 0.9212 0.7284  8 Pt 2.47-2.73
Pt 0.0000 0.0000 0.5000  2 Rh 2.35
Pt 0.1407 0.1407 0.0475  5 V 2.47-2.73, 2 Pt 2.63
Pt 0.2879 0.2879 0.5950  4 V 2.44-2.69, 2 Pt 2.68-2.69
Pt 0.4258 0.4258 0.1570  3 V 2.63-2.73, 4 Pt 2.63-2.86, 1 Rh 2.84
Pt 0.5742 0.5742 0.8430  3 V 2.63-2.73, 4 Pt 2.63-2.86, 1 Rh 2.84
Pt 0.7121 0.7121 0.4050  4 V 2.44-2.69, 2 Pt 2.68-2.69
Pt 0.8593 0.8593 0.9525  5 V 2.47-2.73, 2 Pt 2.63
Rh 0.5000 0.5000 0.5000  2 Pt 2.35

Summary:
Its crystal system is monoclinic.

=====

# 3
# V2PtRh3

V2PtRh3 after structural relaxation (PBE, the Alexandria database).

a b c (Å): 3.8738 11.6205 3.7529
angles (deg): 90.00 90.00 90.00
With the nearest neighbours (Å) after each atom.
Fractional coordinates of all 12 atoms:
V 0.0000 0.1637 0.0000  8 Rh 2.67-2.70, 2 Pt 2.72, 2 V 2.79
V 0.0000 0.8363 0.0000  8 Rh 2.67-2.70, 2 Pt 2.72, 2 V 2.79
V 0.5000 0.3363 0.0000  8 Rh 2.67-2.70, 2 Pt 2.72, 2 V 2.79
V 0.5000 0.6637 0.0000  8 Rh 2.67-2.70, 2 Pt 2.72, 2 V 2.79
Pt 0.0000 0.5000 0.0000  8 Rh 2.70-2.72, 4 V 2.72
Pt 0.5000 0.0000 0.0000  8 Rh 2.70-2.72, 4 V 2.72
Rh 0.0000 0.0000 0.5000  4 V 2.67, 4 Pt 2.70, 4 Rh 2.76
Rh 0.0000 0.3305 0.5000  4 Rh 2.69-2.76, 6 V 2.70, 2 Pt 2.72
Rh 0.0000 0.6695 0.5000  4 Rh 2.69-2.76, 6 V 2.70, 2 Pt 2.72
Rh 0.5000 0.1695 0.5000  4 Rh 2.69-2.76, 6 V 2.70, 2 Pt 2.72
Rh 0.5000 0.5000 0.5000  4 V 2.67, 4 Pt 2.70, 4 Rh 2.76
Rh 0.5000 0.8305 0.5000  4 Rh 2.69-2.76, 6 V 2.70, 2 Pt 2.72

Summary:
Its crystal system is orthorhombic.

=====

# 4
# V2Pt3Rh2

V2Pt3Rh2 after structural relaxation (PBE, the Alexandria database).

a b c (Å): 2.7111 2.7429 14.3458
angles (deg): 90.00 95.40 90.00
With the nearest neighbours (Å) after each atom.
Fractional coordinates of all 7 atoms:
V 0.1412 0.0000 0.2840  4 Rh 2.58, 4 Pt 2.68, 4 V 2.71-2.74
V 0.8588 0.0000 0.7160  4 Rh 2.58, 4 Pt 2.68, 4 V 2.71-2.74
Pt 0.0000 0.5000 0.0000  4 Rh 2.71, 4 Pt 2.71-2.74
Pt 0.2935 0.5000 0.5855  4 V 2.68, 6 Pt 2.71-2.79
Pt 0.7065 0.5000 0.4145  4 V 2.68, 6 Pt 2.71-2.79
Rh 0.4187 0.5000 0.8357  4 V 2.58, 2 Pt 2.71, 4 Rh 2.71-2.74
Rh 0.5813 0.5000 0.1643  4 V 2.58, 2 Pt 2.71, 4 Rh 2.71-2.74

Summary:
Its crystal system is monoclinic.

=====

# 5
# V9Pt4Rh11

V9Pt4Rh11 after structural relaxation (PBE, the Alexandria database).

a b c (Å): 11.4001 11.4001 2.7513
angles (deg): 90.00 90.00 106.91
With the nearest neighbours (Å) after each atom.
Fractional coordinates of all 24 atoms:
V 0.0000 0.0000 0.0000  4 Pt 2.62, 2 V 2.75, 4 Rh 2.85
V 0.0880 0.6591 0.0000  1 Pt 2.55, 8 Rh 2.61-2.67, 2 V 2.75
V 0.3023 0.4989 0.0000  8 Rh 2.56-2.72, 3 V 2.70-2.75
V 0.3409 0.9120 0.0000  1 Pt 2.55, 8 Rh 2.61-2.67, 2 V 2.75
V 0.4989 0.3023 0.0000  8 Rh 2.56-2.72, 3 V 2.70-2.75
V 0.5011 0.6977 0.0000  8 Rh 2.56-2.72, 3 V 2.70-2.75
V 0.6591 0.0880 0.0000  1 Pt 2.55, 8 Rh 2.61-2.67, 2 V 2.75
V 0.6977 0.5011 0.0000  8 Rh 2.56-2.72, 3 V 2.70-2.75
V 0.9120 0.3409 0.0000  1 Pt 2.55, 8 Rh 2.61-2.67, 2 V 2.75
Pt 0.0837 0.2393 0.0000  2 V 2.55-2.62, 3 Pt 2.75-2.85, 4 Rh 2.78-2.80
Pt 0.2393 0.0837 0.0000  2 V 2.55-2.62, 3 Pt 2.75-2.85, 4 Rh 2.78-2.80
Pt 0.7607 0.9163 0.0000  2 V 2.55-2.62, 3 Pt 2.75-2.85, 4 Rh 2.78-2.80
Pt 0.9163 0.7607 0.0000  2 V 2.55-2.62, 3 Pt 2.75-2.85, 4 Rh 2.78-2.80
Rh 0.1061 0.4701 0.5000  6 V 2.56-2.66, 3 Rh 2.70-2.75
Rh 0.1361 0.8639 0.5000  6 V 2.63-2.85, 2 Rh 2.75, 4 Pt 2.80
Rh 0.2972 0.7028 0.5000  8 V 2.67-2.72, 5 Rh 2.75-2.95
Rh 0.3052 0.3052 0.5000  4 V 2.61, 3 Rh 2.64-2.75, 4 Pt 2.78
Rh 0.4701 0.1061 0.5000  6 V 2.56-2.66, 3 Rh 2.70-2.75
Rh 0.5000 0.5000 0.5000  8 V 2.64, 4 Rh 2.64-2.75
Rh 0.5299 0.8939 0.5000  6 V 2.56-2.66, 3 Rh 2.70-2.75
Rh 0.6948 0.6948 0.5000  4 V 2.61, 3 Rh 2.64-2.75, 4 Pt 2.78
Rh 0.7028 0.2972 0.5000  8 V 2.67-2.72, 5 Rh 2.75-2.95
Rh 0.8639 0.1361 0.5000  6 V 2.63-2.85, 2 Rh 2.75, 4 Pt 2.80
Rh 0.8939 0.5299 0.5000  6 V 2.56-2.66, 3 Rh 2.70-2.75

Summary:
Its crystal system is orthorhombic.

=====

# 6
# V2Pt4Rh3

V2Pt4Rh3 after structural relaxation (PBE, the Alexandria database).

a b c (Å): 4.7670 4.7670 8.2116
angles (deg): 107.30 107.30 47.90
With the nearest neighbours (Å) after each atom.
Fractional coordinates of all 9 atoms:
V 0.1700 0.1700 0.2297  5 Rh 2.64-2.77, 7 Pt 2.70-2.78
V 0.8300 0.8300 0.7703  5 Rh 2.64-2.77, 7 Pt 2.70-2.78
Pt 0.1675 0.1675 0.8918  4 Pt 2.70-2.72, 4 Rh 2.74-2.80, 4 V 2.77-2.78
Pt 0.4978 0.4978 0.3277  6 Rh 2.70-2.80, 3 V 2.70-2.73, 3 Pt 2.72-2.82
Pt 0.5022 0.5022 0.6723  6 Rh 2.70-2.80, 3 V 2.70-2.73, 3 Pt 2.72-2.82
Pt 0.8325 0.8325 0.1082  4 Pt 2.70-2.72, 4 Rh 2.74-2.80, 4 V 2.77-2.78
Rh 0.1715 0.1715 0.5522  3 V 2.64-2.69, 3 Rh 2.67-2.83, 6 Pt 2.73-2.80
Rh 0.5000 0.5000 0.0000  8 Pt 2.70-2.74, 4 V 2.77
Rh 0.8285 0.8285 0.4478  3 V 2.64-2.69, 3 Rh 2.67-2.83, 6 Pt 2.73-2.80

Summary:
Its crystal system is monoclinic.

=====

Number 1: formation enthalpy at 0 K -388 meV per atom. Number 2: formation enthalpy at 0 K -83 meV per atom. Number 3: formation enthalpy at 0 K -420 meV per atom. Number 4: formation enthalpy at 0 K -276 meV per atom. Number 5: formation enthalpy at 0 K -345 meV per atom. Number 6: formation enthalpy at 0 K -386 meV per atom.